LiNbSn (PBE, optimized geometry); electronic total energy = -14.8 eV per cell; magnetization = 1.54 Bohr magnetons per cell
1.0
1.7773 -1.5252 3.9286
-2.3723 -2.9185 2.6026
1.3469 -4.3559 0.3620
Nb Sn Li
1 1 1
direct
0.7500 0.7500 0.7500
0.0000 0.0000 0.0000
0.2500 0.2500 0.2500